(1)
18
Lattice="5.1351 0.0000 0.0000 -2.5676 4.4471 0.0000 0.0000 0.0000 9.8865" Properties=species:S:1:pos:R:3 comment="GGA+U NaMgCoF6, relaxed" rho_kg_m3=3239 dft_energy_ev_per_cell=-85.9 pbc="T T T"
Na 0.0000 0.0000 0.0000
Na 0.0000 0.0000 4.9432
Mg 0.0000 2.9648 2.4716
Mg 2.5676 1.4824 7.4149
Co 0.0000 2.9648 7.4149
Co 2.5676 1.4824 2.4716
F -0.8510 1.6619 6.3740
F -1.5538 2.8792 8.4557
F 0.8510 1.6619 8.4557
F -0.7028 4.3532 6.3740
F 1.8647 0.0940 1.4308
F 1.0137 1.5679 3.5125
F 1.5538 2.8792 6.3740
F 0.7028 4.3532 8.4557
F 3.2704 0.0940 3.5125
F 1.7166 2.7853 1.4308
F 4.1214 1.5679 1.4308
F 3.4185 2.7853 3.5125

(2)
12
Lattice="4.7733 0.0000 0.0000 0.0000 6.3847 0.0000 -0.1860 0.0000 4.7787" Properties=species:S:1:pos:R:3 comment="GGA+U NaMgCo2F8, relaxed" rho_kg_m3=3616 dft_energy_ev_per_cell=-58.5 pbc="T T T"
Na 0.0000 0.0000 0.0000
Mg 0.0000 3.1923 0.0000
Co 2.2936 1.6049 2.3893
Co 2.2936 4.7798 2.3893
F 0.9659 1.7550 1.0003
F 0.9659 4.6297 1.0003
F 1.3193 3.1923 3.3207
F 1.4151 0.0000 3.2292
F 3.1722 0.0000 1.5495
F 3.2680 3.1923 1.4580
F 3.6214 1.7550 3.7784
F 3.6214 4.6297 3.7784

(3)
18
Lattice="3.5762 2.0647 5.8689 -3.5762 2.0647 5.8689 0.0000 -4.1294 5.8689" Properties=species:S:1:pos:R:3 comment="GGA+U Na2MgCo3F12, relaxed" rho_kg_m3=3034 dft_energy_ev_per_cell=-82.8 pbc="T T T"
Na 0.0000 0.0000 3.5038
Na 0.0000 0.0000 14.1030
Mg 0.0000 0.0000 8.8034
Co -1.7881 -1.0324 5.8689
Co -1.7881 1.0324 11.7378
Co 0.0000 2.0647 5.8689
F -1.4695 -0.8484 7.7236
F 0.0000 -1.5612 5.4476
F -1.3520 0.7806 5.4476
F 0.0000 -1.6968 9.8831
F -1.4695 0.8484 9.8831
F -1.3520 -0.7806 12.1592
F 1.3520 0.7806 5.4476
F 1.4695 -0.8484 7.7236
F 0.0000 1.6968 7.7236
F 1.3520 -0.7806 12.1592
F 0.0000 1.5612 12.1592
F 1.4695 0.8484 9.8832

(4)
5
Lattice="3.8624 0.0000 0.0000 0.0000 3.8624 0.0000 0.0000 0.0000 5.0537" Properties=species:S:1:pos:R:3 comment="GGA+U MgCoNiF2, relaxed" rho_kg_m3=3963 dft_energy_ev_per_cell=-15.8 pbc="T T T"
Mg 0.0000 0.0000 0.0000
Co 1.9312 1.9312 2.5268
Ni 1.9312 1.9312 0.0000
F 0.0000 1.9312 2.5268
F 1.9312 0.0000 2.5268

(5)
18
Lattice="5.1658 0.0000 0.0000 -2.5829 4.4737 0.0000 0.0000 0.0000 8.8649" Properties=species:S:1:pos:R:3 comment="GGA+U MgCoNiF6, relaxed" rho_kg_m3=4149 dft_energy_ev_per_cell=-87.4 pbc="T T T"
Mg 0.0000 2.9825 2.2162
Mg 2.5829 1.4912 6.6487
Co 0.0000 2.9825 6.6487
Co 2.5829 1.4912 2.2162
Ni 0.0000 0.0000 0.0000
Ni 0.0000 0.0000 4.4324
F -0.8282 1.5026 1.1414
F -1.6958 3.0052 3.2910
F 0.8282 1.5026 3.2910
F -0.8676 4.4397 1.1414
F 1.7154 0.0340 5.5739
F 0.8871 1.4685 7.7235
F 1.6958 3.0052 1.1414
F 0.8676 4.4397 3.2910
F 3.4505 0.0340 7.7235
F 1.7547 2.9712 5.5739
F 4.2787 1.4685 5.5739
F 3.4111 2.9712 7.7235

(6)
5
Lattice="4.0084 0.0000 0.0000 0.0000 4.0084 0.0000 0.0000 0.0000 3.7979" Properties=species:S:1:pos:R:3 comment="GGA+U MgCoOF2, relaxed" rho_kg_m3=3734 de_polymorph_mev_per_atom=38 dft_energy_ev_per_cell=-23.6 pbc="T T T"
Mg 0.0000 0.0000 0.0000
Co 2.0042 2.0042 1.8989
O 2.0042 2.0042 0.0000
F 0.0000 2.0042 1.8989
F 2.0042 0.0000 1.8989

(7)
19
Lattice="5.2630 0.0000 0.0000 -1.0502 5.1606 0.0000 -0.0291 -0.1633 9.1627" Properties=species:S:1:pos:R:3 comment="GGA+U MgCo6O2F10, relaxed" rho_kg_m3=4003 de_polymorph_mev_per_atom=119 dft_energy_ev_per_cell=-96.6 pbc="T T T"
Mg 0.0000 0.0000 0.0000
Co -0.4157 2.0477 4.5337
Co 1.0177 4.7795 3.1980
Co 1.2610 4.9305 6.1647
Co 1.5963 4.9512 9.1543
Co 4.1190 2.4849 1.7152
Co 4.3687 2.3768 7.6649
O 0.0136 3.1539 3.0339
O 3.9359 1.4690 0.0218
F 0.0959 3.2548 6.2048
F 0.1376 3.4200 9.0291
F 1.0346 0.6284 4.7563
F 1.3194 0.5077 1.4002
F 1.2840 0.5329 7.7501
F 2.1964 4.1286 4.7193
F 3.4013 1.2132 3.1495
F 2.9118 4.0745 7.7739
F 2.9655 4.1564 1.2741
F 3.6248 1.3230 6.1721

(8)
19
Lattice="5.2469 0.0000 0.0000 1.4233 5.3571 0.0000 1.0743 2.1027 10.0479" Properties=species:S:1:pos:R:3 comment="GGA+U MgCo6O2F10, relaxed" rho_kg_m3=3527 de_polymorph_mev_per_atom=38 dft_energy_ev_per_cell=-98.1 pbc="T T T"
Mg 0.0000 0.0000 0.0000
Co 1.5081 3.3457 6.5816
Co 3.0463 1.4338 2.1137
Co 4.6886 6.1048 7.7243
Co 3.8647 1.9368 4.7969
Co 6.4843 4.3915 3.6603
Co 7.0030 4.8082 10.0184
O 2.8385 1.9742 6.3749
O 5.3916 5.9309 3.4724
F 2.0751 4.8627 5.4137
F 1.8688 3.3112 8.6722
F 1.3617 1.0693 1.1333
F 3.4736 5.8671 9.3620
F 2.7986 3.1015 3.2317
F 5.0963 4.2939 7.1877
F 4.1836 1.6337 0.4639
F 6.2454 6.4628 9.0316
F 5.6163 2.8834 4.7604
F 6.1316 4.0803 1.4438

(9)
19
Lattice="4.9278 0.0000 0.0000 -0.1478 5.0066 0.0000 -0.1354 -0.3358 9.2469" Properties=species:S:1:pos:R:3 comment="GGA+U MgCo6O2F10, relaxed" rho_kg_m3=4366 de_polymorph_mev_per_atom=12 dft_energy_ev_per_cell=-98.6 pbc="T T T"
Mg 0.0000 0.0000 0.0000
Co -0.0739 2.5033 0.0000
Co -0.0799 2.3260 6.2140
Co 2.0542 4.4993 7.5857
Co 2.3962 -0.1679 4.6234
Co 2.5905 0.1714 1.6612
Co 4.7245 2.3447 3.0329
O 0.4698 3.3450 7.8464
O 4.1748 1.3257 1.4005
F 0.6971 3.8276 1.4549
F 0.6972 3.3872 4.5688
F 1.4487 0.8143 6.1798
F 1.5478 1.0289 3.1629
F 1.4969 0.7354 9.1956
F 3.1477 3.9353 0.0512
F 3.0968 3.6418 6.0840
F 3.1959 3.8564 3.0670
F 3.9474 1.2835 4.6781
F 3.9475 0.8431 7.7920

(10)
5
Lattice="3.8973 0.0000 0.0000 0.0000 3.8973 0.0000 0.0000 0.0000 3.7807" Properties=species:S:1:pos:R:3 comment="GGA+U MgCoO2F, relaxed" rho_kg_m3=3882 dft_energy_ev_per_cell=-24.3 pbc="T T T"
Mg 0.0000 0.0000 0.0000
Co 1.9487 1.9487 1.8903
O 0.0000 1.9487 0.0000
O 1.9487 0.0000 0.0000
F 0.0000 0.0000 1.8903